Compound: NaLiGaO3
Source: Alexandria via LeMat-Bulk
Functional: GGA-PBE
Structure: relaxed

```
NaLiGaO3
1.0
-3.1856 0.2286 -0.7649
2.1684 -3.8086 -3.1189
-1.7113 -5.4712 5.4914
O Li Ga Na
6 2 2 2
Direct
0.9574 0.9147 0.2500 O
0.6163 0.2326 0.4661 O
0.3837 0.7674 0.9661 O
0.6163 0.2326 0.0339 O
0.3837 0.7674 0.5339 O
0.0426 0.0853 0.7500 O
0.4584 0.9167 0.7500 Li
0.5416 0.0833 0.2500 Li
0.0000 0.0000 0.5000 Ga
0.0000 0.0000 0.0000 Ga
0.7173 0.4345 0.7500 Na
0.2827 0.5655 0.2500 Na
```

## Properties
- ΔE_f (raw): -32.9 kcal/mol of atoms